1.
# PmNdDy2Er4

A relaxed structure of PmNdDy2Er4 (GGA-PBE, Alexandria via LeMat-Bulk).

Cell: 9.4827 9.4827 11.7607 Å, 128.32 128.32 88.55°
Closest atoms and distances in Å follow each position.
Element x y z (fractional)
1 Pm 0.0000 0.5000 0.0000  6 Er 3.33-3.40, 2 Dy 3.39
2 Pm 0.0000 0.5000 0.5000  6 Er 3.33-3.40, 2 Dy 3.39
3 Nd 0.5000 0.5000 0.5000  6 Er 3.35-3.43, 2 Nd 3.39
4 Nd 0.0000 0.0000 0.0000  6 Er 3.35-3.43, 2 Nd 3.39
5 Dy 0.5000 0.0000 0.0000  6 Er 3.29-3.39, 2 Pm 3.39
6 Dy 0.5000 0.0000 0.5000  6 Er 3.29-3.39, 2 Pm 3.39
7 Dy 0.0000 0.0000 0.5000  6 Er 3.27-3.37, 2 Dy 3.39
8 Dy 0.5000 0.5000 0.0000  6 Er 3.27-3.37, 2 Dy 3.39
9 Er 0.2537 0.7482 0.0010  3 Dy 3.27-3.39, 1 Nd 3.35, 2 Er 3.38-3.41, 2 Pm 3.40
10 Er 0.7518 0.2463 0.4990  3 Dy 3.27-3.39, 1 Nd 3.35, 2 Er 3.38-3.41, 2 Pm 3.40
11 Er 0.2482 0.7537 0.5010  3 Dy 3.27-3.39, 1 Nd 3.35, 2 Er 3.38-3.41, 2 Pm 3.40
12 Er 0.7463 0.2518 0.9990  3 Dy 3.27-3.39, 1 Nd 3.35, 2 Er 3.38-3.41, 2 Pm 3.40
13 Er 0.7502 0.7529 0.0045  3 Dy 3.29-3.37, 1 Pm 3.33, 2 Er 3.39, 2 Nd 3.42-3.43
14 Er 0.7471 0.7499 0.4955  3 Dy 3.29-3.37, 1 Pm 3.33, 2 Er 3.39, 2 Nd 3.42-3.43
15 Er 0.2529 0.2501 0.5045  3 Dy 3.29-3.37, 1 Pm 3.33, 2 Er 3.39, 2 Nd 3.42-3.43
16 Er 0.2498 0.2471 0.9955  3 Dy 3.29-3.37, 1 Pm 3.33, 2 Er 3.39, 2 Nd 3.42-3.43

calculated total energy: -4.1896 eV per atom
space-group type: C2/c (15)

2.
# Ca2AlI

A relaxed structure of Ca2AlI (GGA-PBE, Alexandria via LeMat-Bulk).

Cell: 4.1638 4.1638 9.0047 Å, 76.63 76.63 60.00°
Closest atoms and distances in Å follow each position.
Element x y z (fractional)
1 I 0.5000 0.5000 0.5000  6 Ca 3.36
2 Ca 0.7429 0.7429 0.7712  3 Al 3.12, 3 I 3.36
3 Ca 0.2571 0.2571 0.2288  3 Al 3.12, 3 I 3.36
4 Al 0.0000 0.0000 0.0000  6 Ca 3.12

excess energy over the best structure of this formula in the dataset: 0.0 meV per atom
ΔE_f (raw): -0.59 eV per atom
space-group type: R-3m (166)

3.
# TiGa2Ge2

A relaxed structure of TiGa2Ge2 (GGA-PBE, Alexandria via LeMat-Bulk).

Cell: 6.9152 6.9152 3.6867 Å, 90.00 90.00 90.00°
Closest atoms and distances in Å follow each position.
Element x y z (fractional)
1 Ge 0.3575 0.8575 0.0000  6 Ga 2.65-2.81, 2 Ti 2.66, 1 Ge 2.79
2 Ge 0.8575 0.6425 0.0000  6 Ga 2.65-2.81, 2 Ti 2.66, 1 Ge 2.79
3 Ge 0.6425 0.1425 0.0000  6 Ga 2.65-2.81, 2 Ti 2.66, 1 Ge 2.79
4 Ge 0.1425 0.3575 0.0000  6 Ga 2.65-2.81, 2 Ti 2.66, 1 Ge 2.79
5 Ga 0.1628 0.6628 0.5000  6 Ge 2.65-2.81
6 Ga 0.6628 0.8372 0.5000  6 Ge 2.65-2.81
7 Ga 0.8372 0.3372 0.5000  6 Ge 2.65-2.81
8 Ga 0.3372 0.1628 0.5000  6 Ge 2.65-2.81
9 Ti 0.0000 0.0000 0.0000  4 Ge 2.66
10 Ti 0.5000 0.5000 0.0000  4 Ge 2.66

excess energy over the best structure of this formula in the dataset: 0.0 meV per atom
space-group type: P4/mbm (127)

4.
# IrPdI2

A relaxed structure of IrPdI2 (GGA-PBE, Alexandria via LeMat-Bulk).

Cell: 4.9277 4.9277 4.9277 Å, 60.00 60.00 60.00°
Closest atoms and distances in Å follow each position.
Element x y z (fractional)
1 I 0.2500 0.2500 0.2500  4 Ir 3.02, 4 Pd 3.02
2 I 0.7500 0.7500 0.7500  4 Ir 3.02, 4 Pd 3.02
3 Ir 0.5000 0.5000 0.5000  8 I 3.02
4 Pd 0.0000 0.0000 0.0000  8 I 3.02

excess energy over the best structure of this formula in the dataset: 361.7 meV per atom
ΔE_f (raw): 0.86 eV per atom
space-group type: Fm-3m (225)

5.
# Ca3Cd9Rh2

A relaxed structure of Ca3Cd9Rh2 (GGA-PBE, Alexandria via LeMat-Bulk).

Cell: 4.8004 8.6289 8.6289 Å, 75.98 73.85 73.85°
Closest atoms and distances in Å follow each position.
Element x y z (fractional)
1 Ca 0.0000 0.0000 0.0000  12 Cd 3.34-3.38
2 Ca 0.6923 0.3077 0.3077  2 Rh 2.94
3 Ca 0.3077 0.6923 0.6923  2 Rh 2.94
4 Cd 0.0000 0.5000 0.5000  4 Cd 2.84, 4 Rh 2.90
5 Cd 0.6424 0.9940 0.7212  4 Cd 2.85-3.08, 1 Rh 2.88
6 Cd 0.3576 0.0060 0.2788  4 Cd 2.85-3.08, 1 Rh 2.88
7 Cd 0.6424 0.7212 0.9940  4 Cd 2.85-3.08, 1 Rh 2.88
8 Cd 0.3576 0.2788 0.0060  4 Cd 2.85-3.08, 1 Rh 2.88
9 Cd 0.8737 0.8468 0.4058  4 Cd 2.84-3.08, 2 Rh 2.98
10 Cd 0.1263 0.1532 0.5942  4 Cd 2.84-3.08, 2 Rh 2.98
11 Cd 0.8737 0.4058 0.8468  4 Cd 2.84-3.08, 2 Rh 2.98
12 Cd 0.1263 0.5942 0.1532  4 Cd 2.84-3.08, 2 Rh 2.98
13 Rh 0.5000 0.3466 0.6534  8 Cd 2.88-2.98, 2 Ca 2.94
14 Rh 0.5000 0.6534 0.3466  8 Cd 2.88-2.98, 2 Ca 2.94

calculated total energy: -2.3343 eV per atom
space-group type: Immm (71)

6.
# Cs4H4SeS3O16

A relaxed structure of Cs4H4SeS3O16 (GGA-PBE, Alexandria via LeMat-Bulk).

Cell: 7.9452 7.9484 8.3855 Å, 90.01 89.73 70.88°
Closest atoms and distances in Å follow each position.
Element x y z (fractional)
1 Cs 0.6992 0.7895 0.6242  9 O 3.18-3.44, 1 H 3.37
2 Cs 0.8013 0.2076 0.1232  9 O 3.12-3.49, 1 H 3.35
3 Cs 0.2982 0.2114 0.3657  9 O 3.18-3.54, 1 H 3.42
4 Cs 0.2072 0.7861 0.8742  8 O 3.13-3.38, 1 H 3.38
5 H 0.5469 0.3751 0.8055  1 O 1.03
6 H 0.9417 0.6324 0.2929  1 O 1.02
7 H 0.4417 0.6317 0.2092  1 O 1.02
8 H 0.0661 0.3746 0.7073  1 O 1.03
9 Se 0.7854 0.2497 0.6317  4 O 1.65-1.77
10 S 0.7143 0.7477 0.1335  4 O 1.46-1.60
11 S 0.2106 0.7544 0.3655  4 O 1.46-1.60
12 S 0.2894 0.2451 0.8677  4 O 1.46-1.60
13 O 0.6842 0.1978 0.4777  1 Se 1.65
14 O 0.8073 0.7912 0.9970  1 S 1.46
15 O 0.3024 0.8018 0.5001  1 S 1.46
16 O 0.1922 0.1953 0.9978  1 S 1.46
17 O 0.6292 0.4252 0.7389  1 H 1.03
18 O 0.8538 0.5890 0.2303  1 H 1.02
19 O 0.3505 0.5922 0.2717  1 H 1.02
20 O 0.1547 0.4113 0.7760  1 H 1.03
21 O 0.8641 0.0835 0.7581  1 Se 1.65
22 O 0.6435 0.8959 0.2457  1 S 1.47
23 O 0.1422 0.8994 0.2502  1 S 1.47
24 O 0.3611 0.1037 0.7493  1 S 1.47
25 O 0.9330 0.3477 0.5772  1 H 1.59, 1 Se 1.67
26 O 0.5807 0.6643 0.0847  1 S 1.48, 1 H 1.60
27 O 0.0757 0.6736 0.4172  1 S 1.48, 1 H 1.60
28 O 0.4237 0.3227 0.9276  1 S 1.49, 1 H 1.56

calculated total energy: -5.4601 eV per atom
space-group type: P1 (1)